Entry 1:
La3PS6 (PBE-GGA, optimized geometry); SG = No. 36; raw formation energy = -1.660 eV/atom
1.0
5.508 -6.806 0.000
5.508 6.806 0.000
0.000 0.000 7.319
La P S
6 2 12
Direct
0.104 0.896 0.500
0.209 0.413 0.555
0.413 0.209 0.055
0.587 0.791 0.555
0.791 0.587 0.055
0.896 0.104 0.000
0.317 0.683 0.148
0.683 0.317 0.648
0.092 0.601 0.269
0.144 0.179 0.278
0.179 0.144 0.778
0.284 0.716 0.696
0.399 0.908 0.269
0.463 0.537 0.282
0.537 0.463 0.782
0.601 0.092 0.769
0.716 0.284 0.196
0.821 0.856 0.278
0.856 0.821 0.778
0.908 0.399 0.769


Entry 2:
Ca2PmPd (PBE-GGA, optimized geometry); calculated formation energy = -386 meV per atom; SG = No. 63
1.0
1.975 -6.320 0.000
1.975 6.320 0.000
0.000 0.000 9.939
Ca Pm Pd
4 2 2
Direct
0.141 0.859 0.566
0.141 0.859 0.934
0.859 0.141 0.066
0.859 0.141 0.434
0.420 0.580 0.750
0.580 0.420 0.250
0.243 0.757 0.250
0.757 0.243 0.750


Entry 3:
ZnAgSb (PBE-GGA, optimized geometry); SG = No. 39; raw formation energy = 0.032 eV/atom
1.0
7.667 0.000 0.000
0.000 2.435 3.850
0.000 -2.435 3.850
Zn Ag Sb
2 2 2
Direct
0.093 0.250 0.750
0.907 0.750 0.250
0.407 0.094 0.594
0.593 0.594 0.094
0.216 0.571 0.071
0.784 0.071 0.571


Number 1: N(E_F) 0.000 states/eV/atom. Number 2: N(E_F) 1.104 states/eV/atom. Number 3: N(E_F) 0.086 states/eV/atom.